# LiSbCl | Alexandria via LeMat-Bulk | PBE | optimized geometry
# N(E_F)	1.370	states/eV per cell
# calculated density	3.545	g/cm³
# final energy	-10.02	eV for the cell shown
# crystal system	trigonal
data_LiSbCl
_chemical_formula_sum 'Li1 Sb1 Cl1'
_cell_length_a 3.4308
_cell_length_b 3.4308
_cell_length_c 7.5427
_cell_angle_alpha 90.00
_cell_angle_beta 90.00
_cell_angle_gamma 120.00
_symmetry_space_group_name_H-M 'P 3 m 1'
_symmetry_Int_Tables_number 156
_symmetry_space_group_name_Hall 'P 3 -2"'
loop_
_atom_site_label
_atom_site_type_symbol
_atom_site_fract_x
_atom_site_fract_y
_atom_site_fract_z
Li1 Li 0.0000 0.0000 0.0000
Sb1 Sb 0.6667 0.3333 0.4127
Cl1 Cl 0.3333 0.6667 0.8715